(1)
Below is a relaxed structure of Nd12SmDy7, with properties calculated at the PBE level.

Cell: 8.8981 8.8981 8.8981 Å, 98.51 98.51 98.51°
With the nearest neighbours (Å) after each atom.
Atoms (fractional coordinates):
1 Nd 0.0000 0.2619 0.7381  6 Nd 3.45-3.62, 5 Dy 3.53-3.58
2 Nd 0.0000 0.7381 0.2619  6 Nd 3.45-3.62, 5 Dy 3.53-3.58
3 Nd 0.1437 0.1437 0.4092  6 Nd 3.45-3.62, 3 Dy 3.64-3.83
4 Nd 0.1437 0.4092 0.1437  6 Nd 3.45-3.62, 3 Dy 3.64-3.83
5 Nd 0.2619 0.0000 0.7381  6 Nd 3.45-3.62, 5 Dy 3.53-3.58
6 Nd 0.2619 0.7381 0.0000  6 Nd 3.45-3.62, 5 Dy 3.53-3.58
7 Nd 0.4092 0.1437 0.1437  6 Nd 3.45-3.62, 3 Dy 3.64-3.83
8 Nd 0.5908 0.8563 0.8563  6 Nd 3.45-3.62, 3 Dy 3.64-3.83
9 Nd 0.7381 0.0000 0.2619  6 Nd 3.45-3.62, 5 Dy 3.53-3.58
10 Nd 0.7381 0.2619 0.0000  6 Nd 3.45-3.62, 5 Dy 3.53-3.58
11 Nd 0.8563 0.5908 0.8563  6 Nd 3.45-3.62, 3 Dy 3.64-3.83
12 Nd 0.8563 0.8563 0.5908  6 Nd 3.45-3.62, 3 Dy 3.64-3.83
13 Sm 0.5000 0.5000 0.5000  6 Dy 3.43
14 Dy 0.0000 0.0000 0.0000  12 Nd 3.53-3.64
15 Dy 0.1613 0.5941 0.5941  1 Dy 3.19, 1 Sm 3.43
16 Dy 0.4059 0.4059 0.8387  1 Dy 3.19, 1 Sm 3.43
17 Dy 0.4059 0.8387 0.4059  1 Dy 3.19, 1 Sm 3.43
18 Dy 0.5941 0.1613 0.5941  1 Dy 3.19, 1 Sm 3.43
19 Dy 0.5941 0.5941 0.1613  1 Dy 3.19, 1 Sm 3.43
20 Dy 0.8387 0.4059 0.4059  1 Dy 3.19, 1 Sm 3.43

Results
- magnetic moment (μB/atom) = 0.0002
- E_tot (eV per atom) = -4.61

---

(2)
Below is a relaxed structure of NdSmDy6, with properties calculated at the PBE level.

Cell: 5.0474 5.0474 10.0903 Å, 90.00 90.00 90.00°
With the nearest neighbours (Å) after each atom.
Atoms (fractional coordinates):
1 Nd 0.0000 0.0000 0.0000  12 Dy 3.57-3.58
2 Sm 0.0000 0.0000 0.5000  12 Dy 3.56-3.57
3 Dy 0.0000 0.5000 0.2510  8 Dy 3.56-3.58, 2 Sm 3.56, 2 Nd 3.58
4 Dy 0.0000 0.5000 0.7490  8 Dy 3.56-3.58, 2 Sm 3.56, 2 Nd 3.58
5 Dy 0.5000 0.0000 0.2510  8 Dy 3.56-3.58, 2 Sm 3.56, 2 Nd 3.58
6 Dy 0.5000 0.0000 0.7490  8 Dy 3.56-3.58, 2 Sm 3.56, 2 Nd 3.58
7 Dy 0.5000 0.5000 0.0000  4 Nd 3.57, 8 Dy 3.58
8 Dy 0.5000 0.5000 0.5000  8 Dy 3.56, 4 Sm 3.57

Results
- magnetic moment (μB/atom) = 0.0000
- E_tot (eV per atom) = -4.62

---

(3)
Below is a relaxed structure of NdSm4Dy2, with properties calculated at the PBE level.

Cell: 6.1661 6.6508 11.7214 Å, 90.00 104.43 90.00°
With the nearest neighbours (Å) after each atom.
Atoms (fractional coordinates):
1 Nd 0.0159 0.2500 0.3503  6 Sm 3.41-3.48, 2 Dy 3.45-3.58
2 Nd 0.9841 0.7500 0.6497  6 Sm 3.41-3.48, 2 Dy 3.45-3.58
3 Sm 0.1534 0.2500 0.6523  3 Dy 3.39-3.64, 3 Nd 3.43-3.48, 2 Sm 3.45
4 Sm 0.2919 0.7500 0.9369  4 Dy 3.37-3.45, 1 Nd 3.43, 4 Sm 3.53-3.55
5 Sm 0.3578 0.5034 0.2123  5 Sm 3.28-3.55, 1 Nd 3.41, 2 Dy 3.55-3.58
6 Sm 0.3578 0.9966 0.2123  5 Sm 3.28-3.55, 1 Nd 3.41, 2 Dy 3.55-3.58
7 Sm 0.6422 0.0034 0.7877  5 Sm 3.28-3.55, 1 Nd 3.41, 2 Dy 3.55-3.58
8 Sm 0.6422 0.4966 0.7877  5 Sm 3.28-3.55, 1 Nd 3.41, 2 Dy 3.55-3.58
9 Sm 0.7081 0.2500 0.0631  4 Dy 3.37-3.45, 1 Nd 3.43, 4 Sm 3.53-3.55
10 Sm 0.8466 0.7500 0.3477  3 Dy 3.39-3.64, 3 Nd 3.43-3.48, 2 Sm 3.45
11 Dy 0.1472 0.2500 0.9403  9 Sm 3.37-3.58
12 Dy 0.4012 0.7500 0.5008  6 Sm 3.44-3.72, 2 Nd 3.45-3.58, 2 Dy 3.54
13 Dy 0.5988 0.2500 0.4992  6 Sm 3.44-3.72, 2 Nd 3.45-3.58, 2 Dy 3.54
14 Dy 0.8528 0.7500 0.0597  9 Sm 3.37-3.58

Results
- magnetic moment (μB/atom) = 0.0000
- E_tot (eV per atom) = -4.57

---

(4)
Below is a relaxed structure of Nd10SmDy6, with properties calculated at the PBE level.

Cell: 9.8704 9.8704 6.9348 Å, 90.00 90.00 120.00°
With the nearest neighbours (Å) after each atom.
Atoms (fractional coordinates):
1 Nd 0.0000 0.2754 0.3168  5 Dy 3.41-3.65, 1 Sm 3.50, 2 Nd 3.72
2 Nd 0.0000 0.7246 0.6832  5 Dy 3.41-3.65, 1 Sm 3.50, 2 Nd 3.72
3 Nd 0.2754 0.0000 0.3168  5 Dy 3.41-3.65, 1 Sm 3.50, 2 Nd 3.72
4 Nd 0.2754 0.2754 0.6832  5 Dy 3.41-3.65, 1 Sm 3.50, 2 Nd 3.72
5 Nd 0.3333 0.6667 0.0000  6 Dy 3.39, 2 Nd 3.47
6 Nd 0.3333 0.6667 0.5000  8 Nd 3.47-3.83, 6 Dy 3.78
7 Nd 0.6667 0.3333 0.0000  6 Dy 3.39, 2 Nd 3.47
8 Nd 0.6667 0.3333 0.5000  8 Nd 3.47-3.83, 6 Dy 3.78
9 Nd 0.7246 0.0000 0.6832  5 Dy 3.41-3.65, 1 Sm 3.50, 2 Nd 3.72
10 Nd 0.7246 0.7246 0.3168  5 Dy 3.41-3.65, 1 Sm 3.50, 2 Nd 3.72
11 Sm 0.0000 0.0000 0.0000  6 Nd 3.50, 6 Dy 3.90
12 Dy 0.0000 0.3713 0.8084  9 Nd 3.39-3.78, 1 Dy 3.68
13 Dy 0.0000 0.6287 0.1916  9 Nd 3.39-3.78, 1 Dy 3.68
14 Dy 0.3713 0.0000 0.8084  9 Nd 3.39-3.78, 1 Dy 3.68
15 Dy 0.3713 0.3713 0.1916  9 Nd 3.39-3.78, 1 Dy 3.68
16 Dy 0.6287 0.0000 0.1916  9 Nd 3.39-3.78, 1 Dy 3.68
17 Dy 0.6287 0.6287 0.8084  9 Nd 3.39-3.78, 1 Dy 3.68

Results
- magnetic moment (μB/atom) = 0.0000
- E_tot (eV per atom) = -4.58

---

(5)
Below is a relaxed structure of Nd2Sm5Dy4, with properties calculated at the PBE level.

Cell: 11.9687 11.9687 8.8393 Å, 104.25 104.25 17.33°
With the nearest neighbours (Å) after each atom.
Atoms (fractional coordinates):
1 Nd 0.0900 0.0900 0.2248  5 Dy 3.59-3.61, 2 Nd 3.61, 5 Sm 3.61-3.65
2 Nd 0.9100 0.9100 0.7752  5 Dy 3.59-3.61, 2 Nd 3.61, 5 Sm 3.61-3.65
3 Sm 0.0000 0.0000 0.5000  6 Sm 3.61, 2 Nd 3.61, 4 Dy 3.61
4 Sm 0.2727 0.2727 0.6852  3 Dy 3.58-3.59, 7 Sm 3.60-3.66, 2 Nd 3.63
5 Sm 0.3634 0.3634 0.4066  3 Dy 3.58-3.59, 7 Sm 3.60-3.65, 2 Nd 3.65
6 Sm 0.6366 0.6366 0.5934  3 Dy 3.58-3.59, 7 Sm 3.60-3.65, 2 Nd 3.65
7 Sm 0.7273 0.7273 0.3148  3 Dy 3.58-3.59, 7 Sm 3.60-3.66, 2 Nd 3.63
8 Dy 0.1820 0.1820 0.9542  5 Sm 3.58-3.59, 6 Dy 3.59-3.61, 1 Nd 3.61
9 Dy 0.4534 0.4534 0.1362  3 Sm 3.58-3.61, 4 Nd 3.59-3.61, 5 Dy 3.59-3.65
10 Dy 0.5466 0.5466 0.8638  3 Sm 3.58-3.61, 4 Nd 3.59-3.61, 5 Dy 3.59-3.65
11 Dy 0.8180 0.8180 0.0458  5 Sm 3.58-3.59, 6 Dy 3.59-3.61, 1 Nd 3.61

Results
- magnetic moment (μB/atom) = 0.0000
- E_tot (eV per atom) = -4.67

---

(6)
Below is a relaxed structure of Nd2SmDy, with properties calculated at the PBE level.

Cell: 5.1435 5.1435 10.2686 Å, 90.00 90.00 90.00°
With the nearest neighbours (Å) after each atom.
Atoms (fractional coordinates):
1 Nd 0.0000 0.0000 0.0000  4 Nd 3.63, 4 Sm 3.63, 4 Dy 3.64
2 Nd 0.0000 0.5000 0.2500  4 Dy 3.63, 4 Nd 3.63, 4 Sm 3.64
3 Nd 0.5000 0.0000 0.7500  4 Dy 3.63, 4 Nd 3.63, 4 Sm 3.64
4 Nd 0.5000 0.5000 0.5000  4 Nd 3.63, 4 Sm 3.63, 4 Dy 3.64
5 Sm 0.0000 0.5000 0.7500  4 Dy 3.63, 8 Nd 3.63-3.64
6 Sm 0.5000 0.0000 0.2500  4 Dy 3.63, 8 Nd 3.63-3.64
7 Dy 0.0000 0.0000 0.5000  8 Nd 3.63-3.64, 4 Sm 3.63
8 Dy 0.5000 0.5000 0.0000  8 Nd 3.63-3.64, 4 Sm 3.63

Results
- magnetic moment (μB/atom) = 0.0000
- E_tot (eV per atom) = -4.70

---

(7)
Below is a relaxed structure of NdSmDy2, with properties calculated at the PBE level.

Cell: 3.6137 3.6137 11.6069 Å, 90.00 90.00 120.00°
With the nearest neighbours (Å) after each atom.
Atoms (fractional coordinates):
1 Nd 0.0000 0.0000 0.0000  6 Dy 3.59, 6 Nd 3.61
2 Sm 0.0000 0.0000 0.5000  6 Dy 3.56, 6 Sm 3.61
3 Dy 0.3333 0.6667 0.2512  3 Sm 3.56, 3 Nd 3.59, 6 Dy 3.61
4 Dy 0.6667 0.3333 0.7488  3 Sm 3.56, 3 Nd 3.59, 6 Dy 3.61

Results
- magnetic moment (μB/atom) = 0.0000
- E_tot (eV per atom) = -4.68

---

(8)
Below is a relaxed structure of Nd5Sm3Dy2, with properties calculated at the PBE level.

Cell: 11.1474 11.1474 11.1474 Å, 107.61 82.38 146.09°
With the nearest neighbours (Å) after each atom.
Atoms (fractional coordinates):
1 Nd 0.1583 0.6006 0.7589  3 Sm 3.08-3.38
2 Nd 0.2500 0.2500 0.0000  4 Nd 3.25-3.30, 4 Sm 3.39
3 Nd 0.2500 0.5006 0.2506  3 Nd 3.25-3.30, 1 Sm 3.28
4 Nd 0.2500 0.9994 0.7494  3 Nd 3.25-3.30, 1 Sm 3.28
5 Nd 0.3417 0.1006 0.4423  3 Sm 3.08-3.38
6 Nd 0.6583 0.8994 0.5577  3 Sm 3.08-3.38
7 Nd 0.7500 0.0006 0.2506  3 Nd 3.25-3.30, 1 Sm 3.28
8 Nd 0.7500 0.4994 0.7494  3 Nd 3.25-3.30, 1 Sm 3.28
9 Nd 0.7500 0.7500 0.0000  4 Nd 3.25-3.30, 4 Sm 3.39
10 Nd 0.8417 0.3994 0.2411  3 Sm 3.08-3.38
11 Sm 0.1581 0.1015 0.2596  3 Nd 3.08-3.39
12 Sm 0.2500 0.7500 0.5000  2 Sm 3.25, 6 Nd 3.28-3.38
13 Sm 0.3419 0.6015 0.9433  3 Nd 3.08-3.39
14 Sm 0.6581 0.3985 0.0567  3 Nd 3.08-3.39
15 Sm 0.7500 0.2500 0.5000  2 Sm 3.25, 6 Nd 3.28-3.38
16 Sm 0.8419 0.8985 0.7404  3 Nd 3.08-3.39
17 Dy 0.2468 0.8425 0.0893  4 Nd 3.51-3.75, 4 Sm 3.55-3.72
18 Dy 0.2532 0.3425 0.5957  4 Nd 3.51-3.75, 4 Sm 3.55-3.72
19 Dy 0.7468 0.6575 0.4043  4 Nd 3.51-3.75, 4 Sm 3.55-3.72
20 Dy 0.7532 0.1575 0.9107  4 Nd 3.51-3.75, 4 Sm 3.55-3.72

Results
- magnetic moment (μB/atom) = 0.0000
- E_tot (eV per atom) = -4.38

---

(9)
Below is a relaxed structure of Nd8Sm2Dy, with properties calculated at the PBE level.

Cell: 9.1200 9.1200 6.7942 Å, 99.87 99.87 44.19°
With the nearest neighbours (Å) after each atom.
Atoms (fractional coordinates):
1 Nd 0.0922 0.0922 0.9139  8 Nd 3.42-3.81, 1 Sm 3.72
2 Nd 0.1508 0.6756 0.5956  5 Nd 3.26-3.60, 1 Dy 3.38, 1 Sm 3.50
3 Nd 0.2560 0.2560 0.6833  5 Nd 3.35-3.52, 4 Sm 3.41-3.72
4 Nd 0.3244 0.8492 0.4044  5 Nd 3.26-3.60, 1 Dy 3.38, 1 Sm 3.50
5 Nd 0.6756 0.1508 0.5956  5 Nd 3.26-3.60, 1 Dy 3.38, 1 Sm 3.50
6 Nd 0.7440 0.7440 0.3167  5 Nd 3.35-3.52, 4 Sm 3.41-3.72
7 Nd 0.8492 0.3244 0.4044  5 Nd 3.26-3.60, 1 Dy 3.38, 1 Sm 3.50
8 Nd 0.9078 0.9078 0.0861  8 Nd 3.42-3.81, 1 Sm 3.72
9 Sm 0.3037 0.3037 0.1934  7 Nd 3.41-3.72, 1 Dy 3.79
10 Sm 0.6963 0.6963 0.8066  7 Nd 3.41-3.72, 1 Dy 3.79
11 Dy 0.5000 0.5000 0.0000  4 Nd 3.38, 2 Sm 3.79

Results
- magnetic moment (μB/atom) = 0.0000
- E_tot (eV per atom) = -4.59

---

(10)
Below is a relaxed structure of Nd4Sm3Dy, with properties calculated at the PBE level.

Cell: 10.3006 7.2879 7.2883 Å, 90.00 90.00 90.00°
With the nearest neighbours (Å) after each atom.
Atoms (fractional coordinates):
1 Nd 0.0000 0.0000 0.0000  6 Sm 3.64, 4 Nd 3.64, 2 Dy 3.64
2 Nd 0.0000 0.5000 0.5000  2 Dy 3.64, 6 Sm 3.64-3.65, 4 Nd 3.65
3 Nd 0.2500 0.2489 0.2500  6 Sm 3.63-3.66, 2 Dy 3.64, 4 Nd 3.64-3.65
4 Nd 0.2500 0.7511 0.7500  6 Sm 3.63-3.66, 4 Nd 3.64-3.65, 2 Dy 3.64
5 Nd 0.5000 0.0000 0.5000  6 Sm 3.64, 4 Nd 3.64, 2 Dy 3.64
6 Nd 0.5000 0.5000 0.0000  2 Dy 3.64, 6 Sm 3.64-3.65, 4 Nd 3.65
7 Nd 0.7500 0.2489 0.2500  6 Sm 3.63-3.66, 2 Dy 3.64, 4 Nd 3.64-3.65
8 Nd 0.7500 0.7511 0.7500  6 Sm 3.63-3.66, 2 Dy 3.64, 4 Nd 3.64-3.65
9 Sm 0.0000 0.5000 0.0000  8 Nd 3.64-3.65, 4 Sm 3.65
10 Sm 0.2500 0.2489 0.7500  8 Nd 3.63-3.66, 2 Dy 3.64, 2 Sm 3.65
11 Sm 0.2500 0.7511 0.2500  8 Nd 3.63-3.66, 2 Dy 3.64, 2 Sm 3.65
12 Sm 0.5000 0.5000 0.5000  8 Nd 3.64-3.65, 4 Sm 3.65
13 Sm 0.7500 0.2489 0.7500  8 Nd 3.63-3.66, 2 Dy 3.64, 2 Sm 3.65
14 Sm 0.7500 0.7511 0.2500  8 Nd 3.63-3.66, 2 Dy 3.64, 2 Sm 3.65
15 Dy 0.0000 0.0000 0.5000  4 Sm 3.64, 8 Nd 3.64
16 Dy 0.5000 0.0000 0.0000  4 Sm 3.64, 8 Nd 3.64

Results
- magnetic moment (μB/atom) = 0.0000
- E_tot (eV per atom) = -4.71